No. 1
# HoThIn GGA-PBE optimized geometry
data_HoThIn
_space_group_name_H-M_alt 'P 1'
_space_group_IT_number 1
_cell_length_a 3.6123
_cell_length_b 5.3323
_cell_length_c 5.3323
_cell_angle_alpha 120.00
_cell_angle_beta 90.00
_cell_angle_gamma 90.00
loop_
_space_group_symop_operation_xyz
'x,y,z'
loop_
_atom_site_label
_atom_site_fract_x
_atom_site_fract_y
_atom_site_fract_z
In1 0.7290 0.6667 0.3333
Th1 0.3617 0.3333 0.6667
Ho1 0.9092 0.0000 0.0000
# **Energy relative to the lowest polymorph listed for this composition**: 0.1943 eV per atom
# **Energy of formation**: -0.074 eV/atom

---

No. 2
# HfZr4C5 GGA-PBE optimized geometry
data_HfZr4C5
_space_group_name_H-M_alt 'P 1'
_space_group_IT_number 1
_cell_length_a 3.3297
_cell_length_b 3.3297
_cell_length_c 12.0059
_cell_angle_alpha 97.97
_cell_angle_beta 97.97
_cell_angle_gamma 90.00
loop_
_space_group_symop_operation_xyz
'x,y,z'
loop_
_atom_site_label
_atom_site_fract_x
_atom_site_fract_y
_atom_site_fract_z
C1 0.3002 0.3002 0.6003
C2 0.5000 0.5000 0.0000
C3 0.9011 0.9011 0.8022
C4 0.6998 0.6998 0.3997
C5 0.0989 0.0989 0.1978
Zr1 0.1997 0.1997 0.3995
Zr2 0.8003 0.8003 0.6005
Zr3 0.4006 0.4006 0.8013
Zr4 0.5994 0.5994 0.1987
Hf1 0.0000 0.0000 0.0000
# **Energy of formation**: -0.834 eV/atom

---

No. 3
# K2CaTa GGA-PBE optimized geometry
data_K2CaTa
_space_group_name_H-M_alt 'P 1'
_space_group_IT_number 1
_cell_length_a 7.3720
_cell_length_b 7.3720
_cell_length_c 3.3369
_cell_angle_alpha 90.00
_cell_angle_beta 90.00
_cell_angle_gamma 125.88
loop_
_space_group_symop_operation_xyz
'x,y,z'
loop_
_atom_site_label
_atom_site_fract_x
_atom_site_fract_y
_atom_site_fract_z
Ca1 0.0000 0.5000 0.5000
K1 0.5000 0.5000 0.0000
K2 0.0000 0.0000 0.0000
Ta1 0.5000 0.0000 0.5000
# **Energy relative to the lowest polymorph listed for this composition**: 0.3378 eV per atom
# **Energy of formation**: 1.204 eV/atom

---

No. 4
Below is V2GeHOs after structural relaxation, with properties calculated at the GGA-PBE level.

```
data_V2GeHOs
_space_group_name_H-M_alt 'P 1'
_space_group_IT_number 1
_cell_length_a 3.8233
_cell_length_b 3.8233
_cell_length_c 3.9341
_cell_angle_alpha 90.00
_cell_angle_beta 90.00
_cell_angle_gamma 90.00
loop_
_space_group_symop_operation_xyz
'x,y,z'
loop_
_atom_site_label
_atom_site_fract_x
_atom_site_fract_y
_atom_site_fract_z
Ge1 0.5000 0.5000 0.5000
H1 0.0000 0.0000 0.0000
V1 0.0000 0.5000 0.0000
V2 0.5000 0.0000 0.0000
Os1 0.0000 0.0000 0.5000
```

---

No. 5
# TbScOs GGA-PBE optimized geometry
data_TbScOs
_space_group_name_H-M_alt 'P 1'
_space_group_IT_number 1
_cell_length_a 4.6508
_cell_length_b 4.6508
_cell_length_c 4.6508
_cell_angle_alpha 60.00
_cell_angle_beta 60.00
_cell_angle_gamma 60.00
loop_
_space_group_symop_operation_xyz
'x,y,z'
loop_
_atom_site_label
_atom_site_fract_x
_atom_site_fract_y
_atom_site_fract_z
Tb1 0.5000 0.5000 0.5000
Sc1 0.0000 0.0000 0.0000
Os1 0.2500 0.2500 0.2500
# **Energy relative to the lowest polymorph listed for this composition**: 0.1381 eV per atom
# **Energy of formation**: -0.201 eV/atom

---

No. 6
# CuPSe GGA-PBE optimized geometry
data_CuPSe
_space_group_name_H-M_alt 'P 1'
_space_group_IT_number 1
_cell_length_a 2.8916
_cell_length_b 2.8916
_cell_length_c 7.6671
_cell_angle_alpha 90.00
_cell_angle_beta 90.00
_cell_angle_gamma 120.00
loop_
_space_group_symop_operation_xyz
'x,y,z'
loop_
_atom_site_label
_atom_site_fract_x
_atom_site_fract_y
_atom_site_fract_z
P1 0.3333 0.6667 0.2445
Cu1 0.0000 0.0000 0.0136
Se1 0.6667 0.3333 0.7418
# **Uncorrected formation energy**: 0.4045 eV per atom

---

No. 7
# KCd2Si GGA-PBE optimized geometry
data_KCd2Si
_space_group_name_H-M_alt 'P 1'
_space_group_IT_number 1
_cell_length_a 6.0509
_cell_length_b 6.0509
_cell_length_c 3.0455
_cell_angle_alpha 90.00
_cell_angle_beta 90.00
_cell_angle_gamma 114.25
loop_
_space_group_symop_operation_xyz
'x,y,z'
loop_
_atom_site_label
_atom_site_fract_x
_atom_site_fract_y
_atom_site_fract_z
Cd1 0.5000 0.5000 0.0000
Cd2 0.0000 0.0000 0.0000
Si1 0.0000 0.5000 0.5000
K1 0.5000 0.0000 0.5000
# **Uncorrected formation energy**: 0.3865 eV per atom

---

No. 8
# Pm2PaTe5 GGA-PBE optimized geometry
data_Pm2PaTe5
_space_group_name_H-M_alt 'P 1'
_space_group_IT_number 1
_cell_length_a 4.4194
_cell_length_b 11.3745
_cell_length_c 11.9623
_cell_angle_alpha 90.00
_cell_angle_beta 90.00
_cell_angle_gamma 90.00
loop_
_space_group_symop_operation_xyz
'x,y,z'
loop_
_atom_site_label
_atom_site_fract_x
_atom_site_fract_y
_atom_site_fract_z
Pa1 0.0000 0.5000 0.5000
Pa2 0.0000 0.0000 0.0000
Te1 0.0000 0.5000 0.0000
Te2 0.5000 0.3693 0.6329
Te3 0.5000 0.6307 0.3671
Te4 0.0000 0.3137 0.3271
Te5 0.0000 0.6863 0.6729
Te6 0.0000 0.1863 0.8271
Te7 0.0000 0.0000 0.5000
Te8 0.5000 0.8693 0.8671
Te9 0.0000 0.8137 0.1729
Te10 0.5000 0.1307 0.1329
Pm1 0.5000 0.0740 0.6792
Pm2 0.5000 0.5740 0.8208
Pm3 0.5000 0.9260 0.3208
Pm4 0.5000 0.4260 0.1792
# **Energy relative to the lowest polymorph listed for this composition**: 0.0233 eV per atom
# **Uncorrected formation energy**: -1.0937 eV per atom

---

no.,E (eV per atom)
1,-4.986
2,-9.860
3,-2.808
4,-7.569
5,-7.598
6,-3.926
7,-1.701
8,-5.432